No. 1
A plane-wave DFT calculation with PBE was carried out for an optimized crystal structure of Ni8Au.

Unit cell a=6.500 b=6.500 c=6.500 alpha=92.35 beta=92.35 gamma=156.63
Fractional positions:
Ni (0.000, 0.335, 0.335)
Ni (0.000, 0.665, 0.665)
Ni (0.325, 0.325, 0.651)
Ni (0.325, 0.675, 0.000)
Ni (0.335, 0.000, 0.335)
Ni (0.665, 0.000, 0.665)
Ni (0.675, 0.325, 0.000)
Ni (0.675, 0.675, 0.349)
Au (0.000, 0.000, 0.000)

Computed properties:
spin magnetization	4.9	μB/cell
DFT formation energy	0.145	eV/atom

No. 2
A plane-wave DFT calculation with PBE was carried out for an optimized crystal structure of NiAu.

Unit cell a=4.859 b=4.859 c=4.859 alpha=136.30 beta=131.67 gamma=67.18
Fractional positions:
Ni (0.385, 0.135, 0.250)
Ni (0.615, 0.865, 0.750)
Au (0.130, 0.380, 0.750)
Au (0.870, 0.620, 0.250)

Computed properties:
spin magnetization	0.9	μB/cell
DFT formation energy	0.124	eV/atom

No. 3
A plane-wave DFT calculation with PBE was carried out for an optimized crystal structure of Ni2Au.

Unit cell a=5.898 b=5.898 c=5.898 alpha=90.00 beta=90.00 gamma=90.00
Fractional positions:
Ni (0.111, 0.111, 0.111)
Ni (0.111, 0.389, 0.611)
Ni (0.389, 0.611, 0.111)
Ni (0.389, 0.889, 0.611)
Ni (0.611, 0.111, 0.389)
Ni (0.611, 0.389, 0.889)
Ni (0.889, 0.611, 0.389)
Ni (0.889, 0.889, 0.889)
Au (0.000, 0.000, 0.500)
Au (0.000, 0.500, 0.000)
Au (0.500, 0.000, 0.000)
Au (0.500, 0.500, 0.500)

Computed properties:
spin magnetization	5.6	μB/cell
DFT formation energy	0.821	eV/atom

No. 4
A plane-wave DFT calculation with PBE was carried out for an optimized crystal structure of Ni3Au5.

Unit cell a=7.470 b=7.470 c=5.252 alpha=90.00 beta=90.00 gamma=120.00
Fractional positions:
Ni (0.000, 0.410, 0.250)
Ni (0.000, 0.590, 0.750)
Ni (0.410, 0.000, 0.250)
Ni (0.410, 0.410, 0.750)
Ni (0.590, 0.000, 0.750)
Ni (0.590, 0.590, 0.250)
Au (0.000, 0.230, 0.750)
Au (0.000, 0.770, 0.250)
Au (0.230, 0.000, 0.750)
Au (0.230, 0.230, 0.250)
Au (0.333, 0.667, 0.000)
Au (0.333, 0.667, 0.500)
Au (0.667, 0.333, 0.000)
Au (0.667, 0.333, 0.500)
Au (0.770, 0.000, 0.250)
Au (0.770, 0.770, 0.750)

Computed properties:
spin magnetization	0.0	μB/cell
energy relative to the lowest polymorph listed for this composition	0.004	eV/atom
DFT formation energy	0.186	eV/atom

No. 5
A plane-wave DFT calculation with PBE was carried out for an optimized crystal structure of Ni6Au.

Unit cell a=5.331 b=5.331 c=5.331 alpha=109.47 beta=109.47 gamma=109.47
Fractional positions:
Ni (0.250, 0.500, 0.750)
Ni (0.250, 0.750, 0.500)
Ni (0.500, 0.250, 0.750)
Ni (0.500, 0.750, 0.250)
Ni (0.750, 0.250, 0.500)
Ni (0.750, 0.500, 0.250)
Au (0.000, 0.000, 0.000)

Computed properties:
spin magnetization	4.7	μB/cell
DFT formation energy	1.028	eV/atom

No. 6
A plane-wave DFT calculation with PBE was carried out for an optimized crystal structure of Ni3Au5.

Unit cell a=7.494 b=7.491 c=9.972 alpha=48.29 beta=48.27 gamma=83.44
Fractional positions:
Ni (0.168, 0.832, 0.168)
Ni (0.250, 0.250, 0.250)
Ni (0.330, 0.667, 0.670)
Ni (0.667, 0.330, 0.333)
Ni (0.750, 0.750, 0.750)
Ni (0.832, 0.168, 0.832)
Au (0.075, 0.925, 0.723)
Au (0.223, 0.777, 0.425)
Au (0.250, 0.250, 0.750)
Au (0.277, 0.723, 0.925)
Au (0.425, 0.575, 0.223)
Au (0.575, 0.425, 0.777)
Au (0.723, 0.277, 0.075)
Au (0.750, 0.750, 0.250)
Au (0.777, 0.223, 0.575)
Au (0.925, 0.075, 0.277)

Computed properties:
spin magnetization	1.2	μB/cell
energy relative to the lowest polymorph listed for this composition	0.000	eV/atom
DFT formation energy	0.182	eV/atom

No. 7
A plane-wave DFT calculation with PBE was carried out for an optimized crystal structure of NiAu.

Unit cell a=5.014 b=5.014 c=5.158 alpha=90.00 beta=90.00 gamma=90.00
Fractional positions:
Ni (0.182, 0.182, 0.000)
Ni (0.318, 0.682, 0.500)
Ni (0.682, 0.318, 0.500)
Ni (0.818, 0.818, 0.000)
Au (0.192, 0.192, 0.500)
Au (0.308, 0.692, 0.000)
Au (0.692, 0.308, 0.000)
Au (0.808, 0.808, 0.500)

Computed properties:
spin magnetization	2.5	μB/cell
DFT formation energy	0.415	eV/atom

No. 8
A plane-wave DFT calculation with PBE was carried out for an optimized crystal structure of NiAu8.

Unit cell a=6.515 b=6.515 c=6.515 alpha=95.65 beta=95.65 gamma=143.42
Fractional positions:
Ni (0.000, 0.000, 0.000)
Au (0.000, 0.328, 0.328)
Au (0.000, 0.672, 0.672)
Au (0.328, 0.000, 0.328)
Au (0.338, 0.338, 0.677)
Au (0.338, 0.662, 0.000)
Au (0.662, 0.338, 0.000)
Au (0.662, 0.662, 0.323)
Au (0.672, 0.000, 0.672)

Computed properties:
spin magnetization	0.0	μB/cell
energy relative to the lowest polymorph listed for this composition	0.000	eV/atom
DFT formation energy	0.039	eV/atom